First-principles (PBE-GGA) data for a geometry-optimized GePIrN2 structure, as listed in the Alexandria database.

The space group is Cm (No. 8) and the conventional cell measures 13.786, 2.726 and 3.934 Å, with angles of 90.00, 92.00 and 90.00 degrees. The distinct sites, in fractional coordinates, are Ge at (0.000, 0.000, 0.000), P at (0.271, 0.000, 0.839), Ir at (0.130, 0.000, 0.532), N at (0.170, 0.000, 0.052) and N at (0.340, 0.500, 0.890).

The mass density comes out at 7.280 g cm⁻³. The calculation puts the spin magnetization at 0.00 Bohr magnetons per cell. The calculation puts the total energy at -68.32 eV for the cell shown. The density of states at the Fermi level comes out at 3.27 states/eV/cell. For the formation energy from raw total energies, the calculation gives 276 meV/atom.